# 1
Pm2Pr3Cd: relaxed, PBE-GGA.

Cell and atoms, written as extended XYZ:
```
6
Lattice="-3.658 1.623 -1.337 -1.424 0.062 3.972 4.079 10.265 1.304" Properties=species:S:1:pos:R:3 pbc="T T T"
Pm 0.868 9.422 2.407
Pm -1.872 2.528 1.531
Pr 0.000 0.000 0.000
Pr 2.671 6.721 0.854
Pr 1.408 3.544 0.450
Cd -0.502 5.975 1.969
```

Output
Formation energy: 0.0 eV/f.u.
Calculated volume: 33.0 Å³/atom
E above lowest polymorph: 2.2 kJ per mole of atoms
Space group: P4/mmm (123)
Mass density: 6.9 Mg/m³
Total energy: -4.1296 eV/atom


# 2
PmPrCd: relaxed, PBE-GGA.

Cell and atoms, written as extended XYZ:
```
6
Lattice="5.432 0.104 0.000 -0.092 5.432 0.000 0.000 0.000 7.138" Properties=species:S:1:pos:R:3 pbc="T T T"
Pr 4.135 1.523 5.353
Pr 1.372 4.187 1.784
Pm 4.135 1.521 1.784
Pm 1.371 4.188 5.353
Cd 1.419 1.471 0.000
Cd 1.419 1.471 3.569
```

Output
Formation energy: 0.2 eV/f.u.
Calculated volume: 35.1 Å³/atom
E above lowest polymorph: 26.2 kJ per mole of atoms
Space group: Cccm (66)
Mass density: 6.3 Mg/m³
Total energy: -3.4107 eV/atom


# 3
PmPr6Cd5: relaxed, PBE-GGA.

Cell and atoms, written as extended XYZ:
```
12
Lattice="-0.692 -5.208 1.641 6.539 0.515 4.388 -7.461 4.982 3.438" Properties=species:S:1:pos:R:3 pbc="T T T"
Pr -1.739 -0.748 6.123
Pr -4.912 -0.998 3.994
Pr 4.435 -2.228 4.029
Pr 1.413 -2.466 2.001
Pr 3.299 1.287 5.473
Pr 0.126 1.037 3.344
Cd -1.760 -1.783 2.832
Cd -3.007 1.747 4.277
Cd 3.270 0.257 2.194
Cd 1.394 -1.458 5.191
Cd 0.147 2.071 6.635
Pm 0.000 0.000 0.000
```

Output
Formation energy: -2.7 eV/f.u.
Calculated volume: 30.1 Å³/atom
Space group: Immm (71)
Mass density: 7.1 Mg/m³
Total energy: -3.3928 eV/atom


# 4
Pm2Pr5Cd: relaxed, PBE-GGA.

Cell and atoms, written as extended XYZ:
```
8
Lattice="-0.477 -3.451 6.353 3.896 -5.485 -2.688 2.565 6.742 -0.276" Properties=species:S:1:pos:R:3 pbc="T T T"
Pm 3.846 -1.732 -0.652
Pm 1.660 -0.716 3.867
Pr 2.942 2.655 3.730
Pr 3.181 4.381 0.553
Pr 4.891 -0.088 2.386
Pr 5.130 1.638 -0.791
Pr 3.607 -3.459 2.523
Cd 1.901 1.011 0.692
```

Output
Formation energy: -0.4 eV/f.u.
Calculated volume: 33.4 Å³/atom
Space group: I4/mmm (139)
Mass density: 6.9 Mg/m³
Total energy: -4.3335 eV/atom


# 5
Pm3Pr4Cd: relaxed, PBE-GGA.

Cell and atoms, written as extended XYZ:
```
8
Lattice="-2.519 -2.878 1.749 1.271 -2.835 -2.834 11.238 -4.212 9.255" Properties=species:S:1:pos:R:3 pbc="T T T"
Pr 9.961 -3.733 8.203
Pr 1.277 -0.479 1.052
Pr 4.253 -1.594 3.502
Pr 6.985 -2.618 5.752
Cd -0.624 -2.856 -0.543
Pm 2.203 -3.916 1.786
Pm 4.995 -4.962 4.085
Pm 7.787 -6.009 6.384
```

Output
Formation energy: 0.1 eV/f.u.
Calculated volume: 33.5 Å³/atom
Space group: P4/mmm (123)
Mass density: 6.9 Mg/m³
Total energy: -4.2709 eV/atom


# 6
Pm4Pr3Cd: relaxed, PBE-GGA.

Cell and atoms, written as extended XYZ:
```
8
Lattice="4.212 0.000 0.000 0.000 4.212 0.000 0.000 0.000 14.963" Properties=species:S:1:pos:R:3 pbc="T T T"
Pr 2.106 2.106 3.769
Pr 2.106 2.106 7.481
Pr 2.106 2.106 11.193
Cd 2.106 2.106 0.000
Pm 0.000 0.000 13.278
Pm 0.000 0.000 1.684
Pm 0.000 0.000 5.578
Pm 0.000 0.000 9.385
```

Output
Formation energy: 0.2 eV/f.u.
Calculated volume: 33.2 Å³/atom
E above lowest polymorph: 5.9 kJ per mole of atoms
Space group: P4/mmm (123)
Mass density: 7.0 Mg/m³
Total energy: -4.2628 eV/atom


# 7
Pm2Pr7Cd2: relaxed, PBE-GGA.

Cell and atoms, written as extended XYZ:
```
11
Lattice="-0.155 7.871 -2.828 -1.066 -3.261 -5.884 -6.464 -0.504 2.087" Properties=species:S:1:pos:R:3 pbc="T T T"
Pm -5.573 2.937 -0.758
Pm -2.113 1.170 -5.867
Pr -4.047 -1.775 -4.727
Pr -1.407 4.741 -5.194
Pr -3.639 5.881 -1.898
Pr -6.279 -0.635 -1.432
Pr 0.000 0.000 0.000
Pr -5.268 1.563 -4.109
Pr -2.418 2.543 -2.517
Cd -2.997 -0.420 -1.885
Cd -4.688 4.526 -4.741
```

Output
Formation energy: 0.4 eV/f.u.
Calculated volume: 34.2 Å³/atom
Space group: C2/m (12)
Mass density: 6.6 Mg/m³
Total energy: -4.0398 eV/atom


# 8
Pm3Pr6Cd: relaxed, PBE-GGA.

Cell and atoms, written as extended XYZ:
```
20
Lattice="5.231 0.000 0.000 0.000 11.260 -0.368 0.000 -0.088 11.613" Properties=species:S:1:pos:R:3 pbc="T T T"
Pm 1.308 6.172 4.481
Pm 3.923 4.999 6.764
Pm 1.308 3.819 9.054
Pm 3.923 7.353 2.191
Pm 1.308 8.487 -0.136
Pm 3.923 2.685 11.381
Pr 1.308 5.063 1.003
Pr 3.923 6.108 10.242
Pr 1.308 1.722 2.086
Pr 3.923 9.450 9.159
Pr 1.308 7.312 7.919
Pr 3.923 3.860 3.326
Pr 1.308 2.569 5.626
Pr 3.923 8.603 5.619
Pr 1.308 9.718 3.378
Pr 3.923 1.454 7.867
Pr 1.308 0.423 10.314
Pr 3.923 10.749 0.931
Cd 1.308 10.584 6.722
Cd 3.923 0.588 4.523
```

Output
Formation energy: -0.2 eV/f.u.
Calculated volume: 34.2 Å³/atom
E above lowest polymorph: 0.0 kJ per mole of atoms
Space group: P2_1/m (11)
Mass density: 6.8 Mg/m³
Total energy: -4.4083 eV/atom